Record 1
## RbLaCl3 (PBE)

Data for a relaxed structure of RbLaCl3.

Lattice parameters (Å, degrees): 15.7353 10.9174 7.2891 90.00 90.00 90.00
Space group Cmce (No. 64)
Asymmetric unit:
Rb (0.2500, 0.0770, 0.2500) x8
La (0.0000, 0.2147, 0.6087) x8
Cl (0.0000, 0.0495, 0.2799) x8
Cl (0.1398, 0.1895, 0.8842) x16

Calculated values
The calculation puts the calculated total energy at -4.281 eV/atom.

=====

Record 2
## Mg2AlSi (PBE)

Data for a relaxed structure of Mg2AlSi.

Lattice parameters (Å, degrees): 6.7126 6.7126 6.7126 90.00 90.00 90.00
Space group Fm-3m (No. 225)
Asymmetric unit:
Mg (0.2500, 0.2500, 0.2500) x8
Al (0.0000, 0.0000, 0.0000) x4
Si (0.0000, 0.0000, 0.5000) x4

Calculated values
The calculation puts the calculated total energy at -2.961 eV/atom.

=====

Record 3
## KRbY2 (PBE)

Data for a relaxed structure of KRbY2.

Lattice parameters (Å, degrees): 10.3355 10.3355 6.8371 90.00 90.00 90.00
Space group I-42d (No. 122)
Asymmetric unit:
K (0.0000, 0.0000, 0.0000) x4
Rb (0.0000, 0.0000, 0.5000) x4
Y (0.2489, 0.2500, 0.1250) x8

Calculated values
Its formation energy is 933 meV/atom. As for the energy above the lowest structure with this stoichiometry: 47.9 meV per atom.

=====

Record 4
## BeHgS3 (PBE)

Data for a relaxed structure of BeHgS3.

Lattice parameters (Å, degrees): 4.4246 4.4246 4.4246 90.00 90.00 90.00
Space group Pm-3m (No. 221)
Asymmetric unit:
Be (0.0000, 0.0000, 0.0000) x1
Hg (0.5000, 0.5000, 0.5000) x1
S (0.0000, 0.0000, 0.5000) x3

Calculated values
As for the energy above the lowest structure with this stoichiometry: 0.0 meV per atom.

=====

Record 5
## TlFeMo (PBE)

Data for a relaxed structure of TlFeMo.

Lattice parameters (Å, degrees): 5.9959 5.9959 5.9959 90.00 90.00 90.00
Space group F-43m (No. 216)
Asymmetric unit:
Tl (0.0000, 0.0000, 0.0000) x4
Fe (0.2500, 0.2500, 0.2500) x4
Mo (0.0000, 0.0000, 0.5000) x4

Calculated values
Its formation energy is 693 meV/atom. As for the energy above the lowest structure with this stoichiometry: 189.7 meV per atom.

=====

Record 6
## NaPrAgPd (PBE)

Data for a relaxed structure of NaPrAgPd.

Lattice parameters (Å, degrees): 7.2169 7.2169 7.2169 90.00 90.00 90.00
Space group F-43m (No. 216)
Asymmetric unit:
Na (0.0000, 0.0000, 0.0000) x4
Pr (0.0000, 0.0000, 0.5000) x4
Ag (0.2500, 0.2500, 0.7500) x4
Pd (0.2500, 0.2500, 0.2500) x4

Calculated values
Its formation energy is -269 meV/atom.